VASP calculation (PBE) on NaTbSeS after structural relaxation.

ΔE_f (raw), meV per atom: -1771.7
Electronic total energy, hartree per atom: -0.1897

```
4
Lattice="2.0406 1.1781 6.8479 -2.0406 1.1781 6.8479 0.0000 -2.3562 6.8479" Properties=species:S:1:pos:R:3 pbc="T T T"
Na 0.0000 0.0000 0.0000
Tb 0.0000 0.0000 10.3935
Se 0.0000 0.0000 15.5772
S 0.0000 0.0000 5.0147
```